# PBE-GGA AcZnGaNi3, optimized geometry
# - Total magnetization: 0.000 μB/f.u.
# - DFT formation energy: -171 meV/atom
# - Electronic total energy: -107.1 eV/cell
data_AcZnGaNi3
_chemical_formula_sum 'Ac4 Zn4 Ga4 Ni12'
_symmetry_space_group_name_H-M 'C m c m'
_symmetry_Int_Tables_number 63
_symmetry_space_group_name_Hall '-C 2c 2'
_cell_length_a 5.841
_cell_length_b 11.838
_cell_length_c 6.210
_cell_angle_alpha 90.00
_cell_angle_beta 90.00
_cell_angle_gamma 90.00
loop_
_atom_site_label
_atom_site_fract_x
_atom_site_fract_y
_atom_site_fract_z
_atom_site_occupancy
Ac1 0.000 0.201 0.250 1
Zn1 0.000 0.461 0.250 1
Ga1 0.000 0.125 0.750 1
Ni1 0.000 0.332 0.750 1
Ni2 0.210 0.000 0.000 1